# 1
A plane-wave DFT calculation with PBE was carried out for CeVSi after structural relaxation.

Cell lengths 4.3661, 4.3661, 3.7597 Å; angles 90.00, 90.00, 120.00 degrees
Space group P-6m2 (No. 187)
Inequivalent atoms, fractional coordinates:
Ce: 0.0000 0.0000 0.0000 (multiplicity 1)
V: 0.3333 0.6667 0.5000 (multiplicity 1)
Si: 0.6667 0.3333 0.5000 (multiplicity 1)

## Properties
total magnetization	3.0	Bohr magnetons per cell
crystal system	hexagonal
VASP energy	-7.033	eV per atom
uncorrected formation energy	-0.62	eV/f.u.
ρ	5.86	g/cm3

=====

# 2
A plane-wave DFT calculation with PBE was carried out for CsPrCd17 after structural relaxation.

Cell lengths 10.3463, 10.3463, 15.2345 Å; angles 90.00, 90.00, 120.00 degrees
Space group R3m (No. 160, hexagonal axes)
Inequivalent atoms, fractional coordinates:
Cs: 0.0000 0.0000 0.0000 (multiplicity 3)
Pr: 0.0000 0.0000 0.6687 (multiplicity 3)
Cd: 0.0000 0.0000 0.2467 (multiplicity 3)
Cd: 0.0000 0.0000 0.4443 (multiplicity 3)
Cd: 0.0034 0.2966 0.3377 (multiplicity 18)
Cd: 0.0106 0.5053 0.1917 (multiplicity 9)
Cd: 0.0146 0.5073 0.8349 (multiplicity 9)
Cd: 0.0327 0.5163 0.4855 (multiplicity 9)

## Properties
total magnetization	0.0	Bohr magnetons per cell
crystal system	trigonal
VASP energy	-1.200	eV per atom
energy of formation	-1.62	eV per formula unit
ρ	7.71	g/cm3

=====

# 3
A plane-wave DFT calculation with PBE was carried out for Ba2CaCo2 after structural relaxation.

Cell lengths 8.144, 8.144, 4.818 Å; angles 90.00, 90.00, 90.00 degrees
Space group P4/mbm (No. 127)
Inequivalent atoms, fractional coordinates:
Ba: 0.173 0.327 0.000 (multiplicity 4)
Ca: 0.000 0.000 0.500 (multiplicity 2)
Co: 0.095 0.595 0.500 (multiplicity 4)

## Properties
total magnetization	4.2	Bohr magnetons per cell
crystal system	tetragonal
VASP energy	-3.628	eV per atom
energy of formation	1.92	eV per formula unit
ρ	4.50	g/cm3

=====

# 4
A plane-wave DFT calculation with PBE was carried out for Co2Os2Pd after structural relaxation.

Cell lengths 7.105, 7.105, 2.637 Å; angles 90.00, 90.00, 90.00 degrees
Space group P4/mbm (No. 127)
Inequivalent atoms, fractional coordinates:
Co: 0.118 0.382 0.000 (multiplicity 4)
Os: 0.175 0.675 0.500 (multiplicity 4)
Pd: 0.000 0.000 0.000 (multiplicity 2)

## Properties
total magnetization	1.8	Bohr magnetons per cell
crystal system	tetragonal
VASP energy	-8.057	eV per atom
energy of formation	1.58	eV per formula unit
ρ	15.09	g/cm3

=====

# 5
A plane-wave DFT calculation with PBE was carried out for Sr2PuO6 after structural relaxation.

Cell lengths 4.054, 5.708, 11.298 Å; angles 90.00, 90.00, 90.00 degrees
Space group Immm (No. 71)
Inequivalent atoms, fractional coordinates:
Sr: 0.000 0.000 0.163 (multiplicity 4)
Pu: 0.000 0.000 0.500 (multiplicity 2)
O: 0.000 0.222 0.363 (multiplicity 8)
O: 0.000 0.292 0.000 (multiplicity 4)

## Properties
total magnetization	0.1	Bohr magnetons per cell
crystal system	orthorhombic
offset from the most stable computed form	60	meV/atom
VASP energy	-7.661	eV per atom
uncorrected formation energy	-21.51	eV/f.u.
ρ	6.55	g/cm3

=====

# 6
A plane-wave DFT calculation with PBE was carried out for CrAsW after structural relaxation.

Cell lengths 3.065, 3.065, 9.005 Å; angles 90.00, 90.00, 90.00 degrees
Space group I4mm (No. 107)
Inequivalent atoms, fractional coordinates:
Cr: 0.000 0.000 0.000 (multiplicity 2)
As: 0.000 0.000 0.355 (multiplicity 2)
W: 0.000 0.000 0.671 (multiplicity 2)

## Properties
total magnetization	0.0	Bohr magnetons per cell
crystal system	tetragonal
offset from the most stable computed form	20	meV/atom
VASP energy	-8.819	eV per atom
energy of formation	0.77	eV per formula unit
ρ	12.20	g/cm3

=====

# 7
A plane-wave DFT calculation with PBE was carried out for AsPbSe2N after structural relaxation.

Cell lengths 5.620, 5.620, 3.959 Å; angles 90.00, 90.00, 90.00 degrees
Space group P4/mmm (No. 123)
Inequivalent atoms, fractional coordinates:
As: 0.000 0.000 0.000 (multiplicity 1)
Pb: 0.500 0.500 0.000 (multiplicity 1)
Se: 0.000 0.500 0.500 (multiplicity 2)
N: 0.000 0.000 0.500 (multiplicity 1)

## Properties
total magnetization	0.0	Bohr magnetons per cell
crystal system	tetragonal
offset from the most stable computed form	197	meV/atom
VASP energy	-3.969	eV per atom
uncorrected formation energy	3.81	eV/f.u.
ρ	6.03	g/cm3

=====

# 8
A plane-wave DFT calculation with PBE was carried out for Pr6NdHo2Sc after structural relaxation.

Cell lengths 11.577, 6.952, 8.890 Å; angles 90.00, 102.46, 90.00 degrees
Space group C2/m (No. 12)
Inequivalent atoms, fractional coordinates:
Pr: 0.128 0.000 0.401 (multiplicity 4)
Pr: 0.161 0.255 0.802 (multiplicity 8)
Nd: 0.000 0.500 0.500 (multiplicity 2)
Ho: 0.093 0.500 0.158 (multiplicity 4)
Sc: 0.000 0.000 0.000 (multiplicity 2)

## Properties
total magnetization	0.0	Bohr magnetons per cell
crystal system	monoclinic
VASP energy	-4.663	eV per atom
energy of formation	2.30	eV per formula unit
ρ	6.49	g/cm3